! K4Ce3ZrSe8 (PBE, relaxed); values from VASP
! ΔE_f (raw)   -1581 meV/atom
! Mass density   4.46 g cm⁻³
&SYSTEM
  ibrav = 0, nat = 16, ntyp = 4
/
ATOMIC_SPECIES
K 39.10 K.upf
Se 78.96 Se.upf
Zr 91.22 Zr.upf
Ce 140.12 Ce.upf
CELL_PARAMETERS angstrom
8.509 -0.001 0.000
-0.001 9.138 0.433
-4.254 -4.248 6.023
ATOMIC_POSITIONS crystal
K 0.000 0.000 0.500
K 0.000 0.000 0.000
K 0.500 0.000 0.500
Se 0.773 0.294 0.547
Zr 0.000 0.500 0.000
Se 0.227 0.706 0.979
Se 0.773 0.294 0.021
Se 0.738 0.714 0.476
Ce 0.000 0.500 0.500
K 0.500 0.000 0.000
Se 0.227 0.706 0.453
Ce 0.500 0.500 0.500
Se 0.752 0.706 0.979
Se 0.262 0.286 0.524
Se 0.248 0.294 0.021
Ce 0.500 0.500 0.000